Entry 1:
Material: K2BeOsO6
Method: DFT, GGA-PBE
State: relaxed

Calculated density ... 5.69 g cm⁻³
E ... -60.29 eV per formula unit

Unit cell a=5.3601 b=5.3601 c=5.3601 alpha=60.00 beta=60.00 gamma=60.00
Closest atoms and distances in Å follow each position.
Fractional positions:
K 0.2500 0.2500 0.2500  12 O 2.68
K 0.7500 0.7500 0.7500  12 O 2.68
Be 0.0000 0.0000 0.0000  6 O 1.91
Os 0.5000 0.5000 0.5000  6 O 1.88
O 0.2518 0.2518 0.7482  1 Os 1.88, 1 Be 1.91
O 0.2518 0.7482 0.2518  1 Os 1.88, 1 Be 1.91
O 0.2518 0.7482 0.7482  1 Os 1.88, 1 Be 1.91
O 0.7482 0.2518 0.2518  1 Os 1.88, 1 Be 1.91
O 0.7482 0.2518 0.7482  1 Os 1.88, 1 Be 1.91
O 0.7482 0.7482 0.2518  1 Os 1.88, 1 Be 1.91

---

Entry 2:
Material: Cs3As4HAu2O14
Method: DFT, GGA-PBE
State: relaxed

Calculated density ... 5.37 g cm⁻³
E ... -127.55 eV per formula unit

Unit cell a=5.8425 b=6.0861 c=13.2639 alpha=91.64 beta=100.83 gamma=117.41
Closest atoms and distances in Å follow each position.
Fractional positions:
Cs 0.0000 0.0000 0.0000  8 O 2.93-3.26, 2 H 3.10
Cs 0.2114 0.8620 0.5718  9 O 2.99-3.22
Cs 0.7886 0.1380 0.4282  9 O 2.99-3.22
As 0.4039 0.4513 0.3393  4 O 1.67-1.82
As 0.4399 0.7032 0.1424  4 O 1.70-1.80
As 0.5601 0.2968 0.8576  4 O 1.70-1.80
As 0.5961 0.5487 0.6607  4 O 1.67-1.82
H 0.5000 0.5000 0.0000  2 O 1.22
Au 0.9998 0.2781 0.7299  4 O 2.15
Au 0.0002 0.7219 0.2701  4 O 2.15
O 0.2276 0.1142 0.8084  1 As 1.71
O 0.2551 0.3789 0.6231  1 As 1.73
O 0.2625 0.6276 0.3739  1 As 1.72
O 0.2774 0.8585 0.1722  1 As 1.70
O 0.2846 0.1709 0.3798  1 As 1.67
O 0.3287 0.4165 0.1987  2 As 1.80-1.82
O 0.3679 0.6005 0.0130  1 H 1.22
O 0.6321 0.3995 0.9870  1 H 1.22
O 0.6713 0.5835 0.8013  2 As 1.80-1.82
O 0.7154 0.8291 0.6202  1 As 1.67
O 0.7226 0.1415 0.8278  1 As 1.70
O 0.7375 0.3724 0.6261  1 As 1.72
O 0.7449 0.6211 0.3769  1 As 1.73
O 0.7724 0.8858 0.1916  1 As 1.71

---

Entry 3:
Material: RbSnTe4Au3
Method: DFT, GGA-PBE
State: relaxed

Calculated density ... 6.35 g cm⁻³
E ... -27.99 eV per formula unit
Offset from the most stable computed form ... 0.1828 eV per atom

Unit cell a=6.9895 b=6.9895 c=6.9895 alpha=90.00 beta=90.00 gamma=90.00
Closest atoms and distances in Å follow each position.
Fractional positions:
Rb 0.0000 0.0000 0.0000  4 Te 3.32
Sn 0.5000 0.5000 0.5000  4 Te 2.73
Te 0.2743 0.2743 0.2743  1 Sn 2.73, 3 Au 2.94
Te 0.2743 0.7257 0.7257  1 Sn 2.73, 3 Au 2.94
Te 0.7257 0.2743 0.7257  1 Sn 2.73, 3 Au 2.94
Te 0.7257 0.7257 0.2743  1 Sn 2.73, 3 Au 2.94
Au 0.0000 0.5000 0.5000  4 Te 2.94
Au 0.5000 0.0000 0.5000  4 Te 2.94
Au 0.5000 0.5000 0.0000  4 Te 2.94

---

Entry 4:
Material: KTcHg
Method: DFT, GGA-PBE
State: relaxed

Calculated density ... 5.95 g cm⁻³
E ... -7.88 eV per formula unit
Offset from the most stable computed form ... 0.0000 eV per atom

Unit cell a=5.1075 b=5.1075 c=5.1075 alpha=60.00 beta=60.00 gamma=60.00
Closest atoms and distances in Å follow each position.
Fractional positions:
K 0.0000 0.0000 0.0000  4 Hg 3.13
Tc 0.5000 0.5000 0.5000  4 Hg 3.13
Hg 0.2500 0.2500 0.2500  4 Tc 3.13, 4 K 3.13

---

Entry 5:
Material: CdB4As
Method: DFT, GGA-PBE
State: relaxed

Calculated density ... 5.78 g cm⁻³
E ... -28.59 eV per formula unit
Offset from the most stable computed form ... 0.0000 eV per atom

Unit cell a=3.0650 b=3.0650 c=8.1483 alpha=90.00 beta=90.00 gamma=120.00
Closest atoms and distances in Å follow each position.
Fractional positions:
Cd 0.0000 0.0000 0.0000  12 B 2.77, 6 Cd 3.07
B 0.3333 0.6667 0.2609  3 B 1.77
B 0.3333 0.6667 0.7391  3 B 1.77
B 0.6667 0.3333 0.2609  3 B 1.77
B 0.6667 0.3333 0.7391  3 B 1.77
As 0.0000 0.0000 0.5000  12 B 2.63

---

Entry 6:
Material: BeSiTcAs
Method: DFT, GGA-PBE
State: relaxed

Calculated density ... 6.37 g cm⁻³
E ... -22.47 eV per formula unit
Offset from the most stable computed form ... 0.1480 eV per atom

Unit cell a=4.2620 b=4.2620 c=4.2620 alpha=60.00 beta=60.00 gamma=60.00
Closest atoms and distances in Å follow each position.
Fractional positions:
Be 0.0000 0.0000 0.0000  4 As 2.61, 4 Tc 2.61
Si 0.5000 0.5000 0.5000  4 As 2.61, 4 Tc 2.61
Tc 0.2500 0.2500 0.2500  4 Be 2.61, 4 Si 2.61
As 0.7500 0.7500 0.7500  4 Be 2.61, 4 Si 2.61

---

Entry 7:
Material: FeReGePd
Method: DFT, GGA-PBE
State: relaxed

Calculated density ... 12.33 g cm⁻³
E ... -29.55 eV per formula unit
Offset from the most stable computed form ... 0.0000 eV per atom

Unit cell a=4.3125 b=4.3125 c=4.3125 alpha=60.00 beta=60.00 gamma=60.00
Closest atoms and distances in Å follow each position.
Fractional positions:
Fe 0.0000 0.0000 0.0000  4 Ge 2.64, 4 Pd 2.64
Re 0.5000 0.5000 0.5000  4 Ge 2.64, 4 Pd 2.64
Ge 0.7500 0.7500 0.7500  4 Fe 2.64, 4 Re 2.64
Pd 0.2500 0.2500 0.2500  4 Fe 2.64, 4 Re 2.64

---

Entry 8:
Material: TbEr2Cd3InGa2
Method: DFT, GGA-PBE
State: relaxed

Calculated density ... 8.71 g cm⁻³
E ... -29.54 eV per formula unit

Unit cell a=4.4974 b=7.2916 c=7.2916 alpha=120.09 beta=90.00 gamma=90.00
Closest atoms and distances in Å follow each position.
Fractional positions:
Tb 0.0000 0.0000 0.0000  4 Ga 3.12, 2 Cd 3.17, 1 In 3.19
Er 0.0000 0.4372 0.8748  4 Ga 3.11, 2 Cd 3.17, 1 In 3.19
Er 0.0000 0.8748 0.4372  4 Ga 3.11, 2 Cd 3.17, 1 In 3.19
Cd 0.5000 0.1818 0.4375  2 Ga 2.75-2.76, 2 In 2.92
Cd 0.5000 0.4375 0.1818  2 Ga 2.75-2.76, 2 In 2.92
Cd 0.5000 0.6924 0.6924  2 Ga 2.76, 2 In 2.91
In 0.0000 0.4381 0.4381  6 Cd 2.91-2.92, 2 Er 3.19, 1 Tb 3.19
Ga 0.5000 0.1045 0.7702  3 Cd 2.75-2.76
Ga 0.5000 0.7702 0.1045  3 Cd 2.75-2.76

---

Entry 9:
Material: RbPrCdTe3
Method: DFT, GGA-PBE
State: relaxed

Calculated density ... 5.08 g cm⁻³
E ... -22.53 eV per formula unit
Offset from the most stable computed form ... 0.0156 eV per atom

Unit cell a=16.5911 b=4.6330 c=12.2746 alpha=90.00 beta=90.00 gamma=90.00
Closest atoms and distances in Å follow each position.
Fractional positions:
Rb 0.2355 0.2500 0.0403  7 Te 3.66-4.04
Rb 0.2645 0.7500 0.5403  7 Te 3.66-4.04
Rb 0.7355 0.2500 0.4597  7 Te 3.66-4.04
Rb 0.7645 0.7500 0.9597  7 Te 3.66-4.04
Pr 0.0262 0.2500 0.3474  6 Te 3.13-3.37
Pr 0.4738 0.7500 0.8474  6 Te 3.13-3.37
Pr 0.5262 0.2500 0.1526  6 Te 3.13-3.37
Pr 0.9738 0.7500 0.6526  6 Te 3.13-3.37
Cd 0.0171 0.7500 0.1011  4 Te 2.83-2.96
Cd 0.4829 0.2500 0.6011  4 Te 2.83-2.96
Cd 0.5171 0.7500 0.3989  4 Te 2.83-2.96
Cd 0.9829 0.2500 0.8989  4 Te 2.83-2.96
Te 0.0881 0.7500 0.8798  3 Cd 2.91-2.96
Te 0.0965 0.2500 0.5838  3 Pr 3.13-3.20
Te 0.1441 0.7500 0.2546  1 Cd 2.83
Te 0.3559 0.2500 0.7546  1 Cd 2.83
Te 0.4035 0.7500 0.0838  3 Pr 3.13-3.20
Te 0.4119 0.2500 0.3798  3 Cd 2.91-2.96
Te 0.5881 0.7500 0.6202  3 Cd 2.91-2.96
Te 0.5965 0.2500 0.9162  3 Pr 3.13-3.20
Te 0.6441 0.7500 0.2454  1 Cd 2.83
Te 0.8559 0.2500 0.7454  1 Cd 2.83
Te 0.9035 0.7500 0.4162  3 Pr 3.13-3.20
Te 0.9119 0.2500 0.1202  3 Cd 2.91-2.96

---

Entry 10:
Material: Rb2Au
Method: DFT, GGA-PBE
State: relaxed

Calculated density ... 3.81 g cm⁻³
E ... -5.70 eV per formula unit

Unit cell a=15.7770 b=15.7770 c=15.7770 alpha=17.80 beta=17.80 gamma=17.80
Closest atoms and distances in Å follow each position.
Fractional positions:
Rb 0.1245 0.1245 0.1245  3 Au 3.44
Rb 0.2914 0.2914 0.2914  3 Au 3.43
Rb 0.7086 0.7086 0.7086  3 Au 3.43
Rb 0.8755 0.8755 0.8755  3 Au 3.44
Au 0.0000 0.0000 0.0000  6 Rb 3.43
Au 0.5000 0.5000 0.5000  6 Rb 3.44

---

Entry 11:
Material: Sm2ZnCoIr
Method: DFT, GGA-PBE
State: relaxed

Calculated density ... 10.15 g cm⁻³
E ... -29.00 eV per formula unit
Calculated formation energy ... -0.47 eV per atom

Unit cell a=5.5135 b=5.5135 c=5.5135 alpha=135.24 beta=79.71 gamma=117.94
Closest atoms and distances in Å follow each position.
Fractional positions:
Sm 0.2078 0.0000 0.2078  3 Co 2.91-3.03, 3 Ir 2.98-2.99, 2 Zn 3.24
Sm 0.7922 0.0000 0.7922  3 Co 2.91-3.03, 3 Ir 2.98-2.99, 2 Zn 3.24
Zn 0.4879 0.4879 0.0000  2 Co 2.56, 2 Ir 2.73
Co 0.2289 0.7289 0.5000  1 Ir 2.47, 2 Zn 2.56
Ir 0.7945 0.2945 0.5000  1 Co 2.47, 2 Zn 2.73

---

Entry 12:
Material: Al2FeNi
Method: DFT, GGA-PBE
State: relaxed

Calculated density ... 5.52 g cm⁻³
E ... -22.04 eV per formula unit

Unit cell a=4.1550 b=4.1550 c=4.1550 alpha=60.00 beta=60.00 gamma=60.00
Closest atoms and distances in Å follow each position.
Fractional positions:
Al 0.0000 0.0000 0.0000  4 Ni 2.54, 4 Al 2.54
Al 0.2500 0.2500 0.2500  4 Fe 2.54, 4 Al 2.54
Fe 0.5000 0.5000 0.5000  4 Ni 2.54, 4 Al 2.54
Ni 0.7500 0.7500 0.7500  4 Al 2.54, 4 Fe 2.54

---

Question: Which of these has the highest E?
Answer: Rb2Au